# Cs2ReTe2Se

A relaxed Cs2ReTe2Se crystal (PBE-GGA, OQMD via LeMat-Bulk).

abc: 8.591 8.591 11.044
angles: 121.33 121.33 53.57
Site moments in Bohr magnetons follow the coordinates.
Sites, in units of the cell vectors:
Cs: 0.913 0.913 0.142  0.01
Re: 0.405 0.405 0.353  0.58
Te: 0.210 0.210 0.276  0.03
Se: 0.750 0.250 0.500  0.02
Re: 0.595 0.595 0.647  0.58
Cs: 0.300 0.300 0.685  0.01
Te: 0.393 0.393 0.112  0.03
Cs: 0.700 0.700 0.315  0.01
Cs: 0.087 0.087 0.858  0.01
Te: 0.607 0.607 0.888  0.03
Te: 0.790 0.790 0.724  0.03
Se: 0.250 0.750 0.500  0.02

Calculated volume in Å³/cell: 533
Total DFT energy (no corrections) in eV/atom: -4.474


# CsSmRe

A relaxed CsSmRe crystal (PBE-GGA, OQMD via LeMat-Bulk).

abc: 5.145 5.145 5.145
angles: 60.00 60.00 60.00
Sites, in units of the cell vectors:
Re: 0.750 0.750 0.750
Sm: 0.000 0.000 0.000
Cs: 0.250 0.250 0.250

Calculated volume in Å³/cell: 96
Total DFT energy (no corrections) in eV/atom: -4.027